(1)
AcYPuIn | PBE | optimized geometry

Properties
**Raw total energy**: -27.61 eV per cell
**SG**: F-43m
**D(E_F)**: 17.53 states/eV/f.u.
**Formation energy from the elements**: 0.01 eV per atom

a = 5.631 Å, b = 5.631 Å, c = 5.631 Å
α = 60.00°, β = 60.00°, γ = 60.00°
Sites, in units of the cell vectors:
1 Ac 0.000 0.000 0.000
2 Y 0.500 0.500 0.500
3 Pu 0.750 0.750 0.750
4 In 0.250 0.250 0.250

(2)
LiCaGa | PBE | optimized geometry

Properties
**Raw total energy**: -31.55 eV per cell
**SG**: Cmce
**D(E_F)**: 0.88 states/eV/f.u.
**Polymorph energy (0 for the lowest one)**: 0 meV per atom
**Formation energy from the elements**: -0.31 eV per atom

a = 7.186 Å, b = 7.186 Å, c = 7.613 Å
α = 90.00°, β = 90.00°, γ = 130.83°
Sites, in units of the cell vectors:
1 Li 0.211 0.289 0.250
2 Li 0.289 0.211 0.750
3 Li 0.711 0.789 0.250
4 Li 0.789 0.711 0.750
5 Ca 0.182 0.818 0.410
6 Ca 0.318 0.682 0.910
7 Ca 0.682 0.318 0.090
8 Ca 0.818 0.182 0.590
9 Ga 0.094 0.906 0.032
10 Ga 0.406 0.594 0.532
11 Ga 0.594 0.406 0.468
12 Ga 0.906 0.094 0.968

(3)
TbBeAl2Au4 | PBE | optimized geometry

Properties
**Raw total energy**: -32.84 eV per cell
**SG**: R-3m
**D(E_F)**: 2.03 states/eV/f.u.
**Formation energy from the elements**: -0.49 eV per atom

a = 9.074 Å, b = 9.074 Å, c = 9.074 Å
α = 27.81°, β = 27.81°, γ = 27.81°
Sites, in units of the cell vectors:
1 Tb 0.000 0.000 0.000
2 Be 0.500 0.500 0.500
3 Al 0.243 0.243 0.243
4 Al 0.757 0.757 0.757
5 Au 0.138 0.138 0.138
6 Au 0.400 0.400 0.400
7 Au 0.600 0.600 0.600
8 Au 0.862 0.862 0.862

(4)
YNiAu | PBE | optimized geometry

Properties
**Raw total energy**: -15.58 eV per cell
**SG**: F-43m
**D(E_F)**: 2.73 states/eV/f.u.
**Formation energy from the elements**: -0.02 eV per atom

a = 4.637 Å, b = 4.637 Å, c = 4.637 Å
α = 60.00°, β = 60.00°, γ = 60.00°
Sites, in units of the cell vectors:
1 Y 0.000 0.000 0.000
2 Ni 0.250 0.250 0.250
3 Au 0.750 0.750 0.750

(5)
ScTaFe2 | PBE | optimized geometry

Properties
**Raw total energy**: -66.70 eV per cell
**SG**: I-42d
**D(E_F)**: 5.10 states/eV/f.u.
**Polymorph energy (0 for the lowest one)**: 659 meV per atom
**Formation energy from the elements**: 0.44 eV per atom

a = 5.521 Å, b = 5.521 Å, c = 5.521 Å
α = 104.75°, β = 104.75°, γ = 119.40°
Sites, in units of the cell vectors:
1 Sc 0.000 0.000 0.000
2 Sc 0.750 0.250 0.500
3 Ta 0.250 0.750 0.500
4 Ta 0.500 0.500 0.000
5 Fe 0.141 0.125 0.516
6 Fe 0.375 0.859 0.984
7 Fe 0.609 0.625 0.484
8 Fe 0.875 0.391 0.016

(6)
Na4Y3AlO8 | PBE | optimized geometry

Properties
**Raw total energy**: -109.90 eV per cell
**Raw formation energy**: -2.614 eV/atom
**SG**: R-3m
**D(E_F)**: 0.00 states/eV/f.u.

a = 6.744 Å, b = 6.744 Å, c = 6.744 Å
α = 58.88°, β = 58.88°, γ = 58.88°
Sites, in units of the cell vectors:
1 Na 0.000 0.000 0.000
2 Na 0.000 0.500 0.500
3 Na 0.500 0.000 0.500
4 Na 0.500 0.500 0.000
5 Y 0.000 0.000 0.500
6 Y 0.000 0.500 0.000
7 Y 0.500 0.000 0.000
8 Al 0.500 0.500 0.500
9 O 0.238 0.238 0.238
10 O 0.264 0.719 0.719
11 O 0.281 0.281 0.736
12 O 0.281 0.736 0.281
13 O 0.719 0.264 0.719
14 O 0.719 0.719 0.264
15 O 0.736 0.281 0.281
16 O 0.762 0.762 0.762